1.
Material: TeAs2Ru
Method: DFT, GGA-PBE
State: optimized geometry

The structure in CIF format:
```
data_TeAs2Ru
_symmetry_space_group_name_H-M 'P 1 m 1'
_symmetry_Int_Tables_number 6
_cell_length_a 4.118
_cell_length_b 4.187
_cell_length_c 5.284
_cell_angle_alpha 90.00
_cell_angle_beta 96.55
_cell_angle_gamma 90.00
loop_
_symmetry_equiv_pos_as_xyz
'x,y,z'
'x,-y,z'
loop_
_atom_site_label
_atom_site_type_symbol
_atom_site_fract_x
_atom_site_fract_y
_atom_site_fract_z
_atom_site_occupancy
Te1 Te 0.000 0.000 0.000 1
As1 As 0.310 0.000 0.485 1
As2 As 0.685 0.500 0.450 1
Ru1 Ru 0.188 0.500 0.726 1
```

=====

2.
Material: TeAs2Ru
Method: DFT, GGA-PBE
State: optimized geometry

The structure in CIF format:
```
data_TeAs2Ru
_symmetry_space_group_name_H-M 'I -4 2 d'
_symmetry_Int_Tables_number 122
_symmetry_space_group_name_Hall 'I -4 2bw'
_cell_length_a 6.276
_cell_length_b 6.276
_cell_length_c 10.711
_cell_angle_alpha 90.00
_cell_angle_beta 90.00
_cell_angle_gamma 90.00
loop_
_atom_site_label
_atom_site_type_symbol
_atom_site_fract_x
_atom_site_fract_y
_atom_site_fract_z
_atom_site_occupancy
Te1 Te 0.000 0.000 0.000 1
As1 As 0.180 0.250 0.625 1
Ru1 Ru 0.000 0.000 0.500 1
```

=====

Listing formation energy from raw total energies for the structures above in their given order: 0.08, 0.21 eV/atom.
Listing D(E_F) for the structures above in their given order: 1.768, 2.459 states/eV/cell.